DFT (PBE-GGA) results for crystalline Lu2Hf4Ge3N3 at its relaxed geometry.

```
Lu2Hf4Ge3N3
1.0
4.928 -2.844 0.000
4.928 2.844 0.000
-3.335 0.000 13.642
Lu Hf Ge N
4 8 6 6
direct
0.035 0.872 0.602 Lu
0.128 0.965 0.898 Lu
0.872 0.035 0.102 Lu
0.965 0.128 0.398 Lu
0.196 0.359 0.088 Hf
0.300 0.474 0.412 Hf
0.359 0.196 0.588 Hf
0.474 0.300 0.912 Hf
0.526 0.700 0.088 Hf
0.641 0.804 0.412 Hf
0.700 0.526 0.588 Hf
0.804 0.641 0.912 Hf
0.085 0.301 0.751 Ge
0.301 0.085 0.251 Ge
0.474 0.526 0.750 Ge
0.526 0.474 0.250 Ge
0.699 0.915 0.749 Ge
0.915 0.699 0.249 Ge
0.000 0.500 0.500 N
0.168 0.664 0.000 N
0.336 0.832 0.500 N
0.500 0.000 0.000 N
0.664 0.168 0.500 N
0.832 0.336 0.000 N
```

Results
uncorrected energy: -8.4841 eV per atom
V: 15.9 Å³/atom

=====

DFT (PBE-GGA) results for crystalline LuHf2Ni4Ge4 at its relaxed geometry.

```
LuHf2Ni4Ge4
1.0
-1.961 3.310 6.504
1.961 -3.310 6.504
1.961 3.310 -6.504
Lu Hf Ni Ge
1 2 4 4
direct
0.000 0.000 0.000 Lu
0.372 0.872 0.500 Hf
0.628 0.128 0.500 Hf
0.023 0.323 0.700 Ni
0.378 0.677 0.700 Ni
0.622 0.323 0.300 Ni
0.977 0.677 0.300 Ni
0.216 0.216 0.000 Ge
0.307 0.500 0.807 Ge
0.693 0.500 0.193 Ge
0.784 0.784 0.000 Ge
```

Results
uncorrected energy: -6.6411 eV per atom
V: 15.4 Å³/atom

=====

DFT (PBE-GGA) results for crystalline Lu2HfNi4Ge4 at its relaxed geometry.

```
Lu2HfNi4Ge4
1.0
-1.994 3.286 6.605
1.994 -3.286 6.605
1.994 3.286 -6.605
Lu Hf Ni Ge
2 1 4 4
direct
0.129 0.129 0.000 Lu
0.871 0.871 0.000 Lu
0.500 0.000 0.500 Hf
0.126 0.323 0.803 Ni
0.480 0.677 0.803 Ni
0.520 0.323 0.197 Ni
0.874 0.677 0.197 Ni
0.206 0.500 0.706 Ge
0.287 0.787 0.500 Ge
0.713 0.213 0.500 Ge
0.794 0.500 0.294 Ge
```

Results
uncorrected energy: -6.1301 eV per atom
V: 15.7 Å³/atom

=====

DFT (PBE-GGA) results for crystalline Hf2MgGe at its relaxed geometry.

```
Hf2MgGe
1.0
0.000 3.408 3.408
3.408 0.000 3.408
3.408 3.408 0.000
Hf Mg Ge
2 1 1
direct
0.000 0.000 0.000 Hf
0.250 0.250 0.250 Hf
0.750 0.750 0.750 Mg
0.500 0.500 0.500 Ge
```

Results
uncorrected energy: -6.2616 eV per atom
V: 19.8 Å³/atom

=====

DFT (PBE-GGA) results for crystalline HfMgGe at its relaxed geometry.

```
HfMgGe
1.0
0.000 3.163 3.163
3.163 0.000 3.163
3.163 3.163 0.000
Hf Mg Ge
1 1 1
direct
0.000 0.000 0.000 Hf
0.500 0.500 0.500 Mg
0.250 0.250 0.250 Ge
```

Results
uncorrected energy: -5.4125 eV per atom
V: 21.1 Å³/atom

=====

DFT (PBE-GGA) results for crystalline Hf2Ge2Mo at its relaxed geometry.

```
Hf2Ge2Mo
1.0
6.798 0.000 0.000
0.000 6.798 0.000
0.000 0.000 3.803
Hf Ge Mo
4 4 2
direct
0.173 0.327 0.000 Hf
0.327 0.827 0.000 Hf
0.673 0.173 0.000 Hf
0.827 0.673 0.000 Hf
0.132 0.632 0.500 Ge
0.368 0.132 0.500 Ge
0.632 0.868 0.500 Ge
0.868 0.368 0.500 Ge
0.000 0.000 0.500 Mo
0.500 0.500 0.500 Mo
```

Results
uncorrected energy: -8.6105 eV per atom
V: 17.6 Å³/atom
E above lowest polymorph: 0.0 meV per atom